# 1
## LaRuIO2 (PBE)

Data for a relaxed LaRuIO2 crystal.

Unit cell a=4.305 b=4.305 c=7.105 alpha=90.00 beta=90.00 gamma=90.00
Element x y z (fractional)
La 0.000 0.000 0.000
Ru 0.500 0.500 0.500
I 0.000 0.000 0.500
O 0.000 0.500 0.000
O 0.500 0.000 0.000

Output
- ΔE_f (raw): -2.81 eV per formula unit
- D(E_F): 8.4 states/eV/f.u.
- E above lowest polymorph: 0.120 eV/atom

# 2
## CsBiF6 (PBE)

Data for a relaxed CsBiF6 crystal.

Unit cell a=6.271 b=6.271 c=11.211 alpha=100.20 beta=100.20 gamma=52.74
Element x y z (fractional)
Cs 0.148 0.852 0.750
Cs 0.852 0.148 0.250
Bi 0.000 0.500 0.000
Bi 0.500 0.000 0.500
F 0.114 0.178 0.536
F 0.178 0.114 0.036
F 0.205 0.359 0.848
F 0.297 0.510 0.106
F 0.359 0.205 0.348
F 0.490 0.703 0.394
F 0.510 0.297 0.606
F 0.641 0.795 0.652
F 0.703 0.490 0.894
F 0.795 0.641 0.152
F 0.822 0.886 0.964
F 0.886 0.822 0.464

Output
- ΔE_f (raw): -17.79 eV per formula unit
- D(E_F): 0.0 states/eV/f.u.

We obtain energy values of -28.480, -33.752 eV/f.u. for the records listed above, in that order.